(1)
Here is crystalline TlCd2Br at its relaxed geometry from Alexandria via LeMat-Bulk. Energies are from PBE.

Unit cell a=3.731 b=6.457 c=10.641 alpha=80.11 beta=80.80 gamma=72.37
Atoms (fractional coordinates):
Tl 0.154 0.329 0.846
Tl 0.846 0.671 0.154
Br 0.405 0.781 0.899
Br 0.595 0.219 0.101
Cd 0.655 0.691 0.496
Cd 0.345 0.309 0.504
Cd 0.052 0.047 0.344
Cd 0.948 0.953 0.656

Output
DOS(E_F): 1.67 states/eV/cell
energy relative to the elements, uncorrected: -246 meV/atom
total moment: 0.00 μB/f.u.
symmetry: P-1 (2)

---

(2)
Here is crystalline Li4CuS3 at its relaxed geometry from Alexandria via LeMat-Bulk. Energies are from PBE.

Unit cell a=6.178 b=6.787 c=8.397 alpha=108.13 beta=90.00 gamma=117.07
Site moments in Bohr magnetons follow the coordinates.
Atoms (fractional coordinates):
S 0.677 0.311 0.851  0.07
S 0.635 0.311 0.351  0.07
S 0.286 0.599 0.587  0.06
S 0.313 0.599 0.087  0.06
S 0.913 0.882 0.804  0.10
S 0.969 0.882 0.304  0.10
Cu 0.598 0.942 0.745  0.22
Cu 0.344 0.942 0.245  0.22
Li 0.290 0.224 0.947  0.00
Li 0.934 0.224 0.447  0.00
Li 0.580 0.463 0.645  0.00
Li 0.883 0.463 0.145  0.00
Li 0.093 0.597 0.840  0.00
Li 0.504 0.597 0.340  0.00
Li 0.031 0.762 0.532  0.00
Li 0.731 0.762 0.032  0.00

Output
DOS(E_F): 7.82 states/eV/cell
energy relative to the elements, uncorrected: -924 meV/atom
total moment: 0.63 μB/f.u.
symmetry: Cc (9)

---

Q: What is the formula in the second record?
A: Li4CuS3

---

Q: Which formula does entry 1 have?
A: TlCd2Br

---

Q: Which of these has the highest DOS(E_F)?
A: Li4CuS3